A plane-wave DFT calculation with GGA-PBE was carried out for a geometry-optimized Ca3Ag2Au2 structure.

Output
Calculated formation energy   -507 meV/atom
Total DFT energy (no corrections)   -3.116 eV/atom
Size of the total moment   0.000 μB per formula unit

a b c (Å): 10.895 10.895 3.817
angles (deg): 90.00 90.00 157.26
Element x y z (fractional)
Ca 0.000 0.000 0.000
Ca 0.167 0.833 0.000
Ca 0.833 0.167 0.000
Ag 0.428 0.572 0.500
Ag 0.572 0.428 0.500
Au 0.294 0.706 0.500
Au 0.706 0.294 0.500